Entry 1:
The following is a PBE calculation of a geometry-optimized HoLuTa structure, from the Open Quantum Materials Database.

electronic total energy	-5.718	eV per atom
DFT formation energy	1.27	eV per atom
space group	No. 216

a = 7.000 Å, b = 7.000 Å, c = 7.000 Å
α = 90.00°, β = 90.00°, γ = 90.00°
Sites, in units of the cell vectors:
Ho 0.000 0.000 0.000
Ho 0.000 0.500 0.500
Ho 0.500 0.000 0.500
Ho 0.500 0.500 0.000
Lu 0.250 0.250 0.250
Lu 0.250 0.750 0.750
Lu 0.750 0.250 0.750
Lu 0.750 0.750 0.250
Ta 0.000 0.000 0.500
Ta 0.000 0.500 0.000
Ta 0.500 0.000 0.000
Ta 0.500 0.500 0.500

=====

Entry 2:
The following is a PBE calculation of a geometry-optimized NiAgSnPd structure, from the Open Quantum Materials Database.

electronic total energy	-4.586	eV per atom
space group	No. 216

a = 6.372 Å, b = 6.372 Å, c = 6.372 Å
α = 90.00°, β = 90.00°, γ = 90.00°
Sites, in units of the cell vectors:
Ni 0.000 0.000 0.000
Ni 0.000 0.500 0.500
Ni 0.500 0.000 0.500
Ni 0.500 0.500 0.000
Ag 0.250 0.250 0.250
Ag 0.250 0.750 0.750
Ag 0.750 0.250 0.750
Ag 0.750 0.750 0.250
Sn 0.250 0.250 0.750
Sn 0.250 0.750 0.250
Sn 0.750 0.250 0.250
Sn 0.750 0.750 0.750
Pd 0.000 0.000 0.500
Pd 0.000 0.500 0.000
Pd 0.500 0.000 0.000
Pd 0.500 0.500 0.500

=====

Entry 3:
The following is a PBE calculation of a geometry-optimized TbTlAsO structure, from the Open Quantum Materials Database.

electronic total energy	-5.228	eV per atom
space group	No. 129

a = 5.858 Å, b = 5.858 Å, c = 5.072 Å
α = 90.00°, β = 90.00°, γ = 90.00°
Sites, in units of the cell vectors:
Tb 0.250 0.750 0.000
Tb 0.750 0.250 0.000
Tl 0.250 0.250 0.498
Tl 0.750 0.750 0.502
As 0.250 0.250 0.997
As 0.750 0.750 0.003
O 0.250 0.750 0.500
O 0.750 0.250 0.500